The following is a DFT calculation (PBE-GGA) of a relaxed structure of YRuW2.

a b c (Å): 4.6615 4.6615 3.2140
angles (deg): 90.00 90.00 90.00
With the nearest neighbours (Å) after each atom.
Space group P4/mmm (No. 123)
Symmetry-distinct sites (fractional):
Y 0.0000 0.0000 0.0000 (multiplicity 1)  8 W 2.83
Ru 0.5000 0.5000 0.0000 (multiplicity 1)  8 W 2.83
W 0.0000 0.5000 0.5000 (multiplicity 2)  4 Ru 2.83, 4 Y 2.83

Summary:
Size of the total moment = 0.0 μB per cell
N(E_F) = 3.92 states/eV/f.u.
Energy above the lowest structure with this stoichiometry = 479 meV/atom
Calculated volume = 69.8 Å³/cell
Formation energy = 0.652 eV/atom